# Fe3TcF | the Alexandria database | PBE with a Hubbard U | optimized geometry
# * magnetic moment: 12.388 μB per formula unit
# * final energy: -27.1 eV per cell
data_Fe3TcF
_chemical_formula_sum 'Fe3 Tc1 F1'
_cell_length_a 4.2181
_cell_length_b 4.2181
_cell_length_c 4.2181
_cell_angle_alpha 90.00
_cell_angle_beta 90.00
_cell_angle_gamma 90.00
_symmetry_space_group_name_H-M 'P m -3 m'
_symmetry_Int_Tables_number 221
_symmetry_space_group_name_Hall '-P 4 2 3'
loop_
_atom_site_label
_atom_site_type_symbol
_atom_site_fract_x
_atom_site_fract_y
_atom_site_fract_z
_atom_site_occupancy
Fe1 Fe 0.0000 0.0000 0.5000 1
Tc1 Tc 0.5000 0.5000 0.5000 1
F1 F 0.0000 0.0000 0.0000 1